# SrSb4Pd12

Crystalline SrSb4Pd12 at its relaxed geometry (PBE, Alexandria via LeMat-Bulk).

Output
**Final energy**: -83.29 eV per formula unit
**E_form (uncorrected)**: -165 meV per atom
**Fermi-level density of states**: 0.5811 states/eV per atom

a = 7.7603 Å, b = 7.7603 Å, c = 7.7603 Å
α = 109.47°, β = 109.47°, γ = 109.47°
Fractional coordinates of all 17 atoms:
Sr  0.0000  0.0000  0.0000
Sb  0.0000  0.0000  0.5000
Sb  0.0000  0.5000  0.0000
Sb  0.5000  0.0000  0.0000
Sb  0.5000  0.5000  0.5000
Pd  0.1545  0.5067  0.3522
Pd  0.1545  0.8024  0.6478
Pd  0.1976  0.3522  0.8455
Pd  0.3522  0.1545  0.5067
Pd  0.3522  0.8455  0.1976
Pd  0.4933  0.6478  0.8455
Pd  0.5067  0.3522  0.1545
Pd  0.6478  0.1545  0.8024
Pd  0.6478  0.8455  0.4933
Pd  0.8024  0.6478  0.1545
Pd  0.8455  0.1976  0.3522
Pd  0.8455  0.4933  0.6478

# SrSb3Pd

Crystalline SrSb3Pd at its relaxed geometry (PBE, Alexandria via LeMat-Bulk).

Output
**Final energy**: -20.36 eV per formula unit
**E_form (uncorrected)**: -225 meV per atom
**Fermi-level density of states**: 0.7977 states/eV per atom
**Polymorph energy (0 for the lowest one)**: 324 meV per atom

a = 5.3462 Å, b = 5.3462 Å, c = 5.3462 Å
α = 90.00°, β = 90.00°, γ = 90.00°
Fractional coordinates of all 5 atoms:
Sr  0.0000  0.0000  0.0000
Sb  0.0000  0.5000  0.5000
Sb  0.5000  0.0000  0.5000
Sb  0.5000  0.5000  0.0000
Pd  0.5000  0.5000  0.5000

# SrSb3Pd5

Crystalline SrSb3Pd5 at its relaxed geometry (PBE, Alexandria via LeMat-Bulk).

Output
**Final energy**: -45.52 eV per formula unit
**E_form (uncorrected)**: -612 meV per atom
**Fermi-level density of states**: 0.3695 states/eV per atom

a = 7.2797 Å, b = 7.2797 Å, c = 13.3388 Å
α = 90.00°, β = 90.00°, γ = 146.38°
Fractional coordinates of all 18 atoms:
Sr  0.1637  0.8363  0.7500
Sr  0.8363  0.1637  0.2500
Sb  0.1103  0.8897  0.2500
Sb  0.3780  0.6220  0.0412
Sb  0.3780  0.6220  0.4588
Sb  0.6220  0.3780  0.5412
Sb  0.6220  0.3780  0.9588
Sb  0.8897  0.1103  0.7500
Pd  0.0000  0.0000  0.0000
Pd  0.0000  0.0000  0.5000
Pd  0.1942  0.8058  0.0701
Pd  0.1942  0.8058  0.4299
Pd  0.4568  0.5432  0.6452
Pd  0.4568  0.5432  0.8548
Pd  0.5432  0.4568  0.1452
Pd  0.5432  0.4568  0.3548
Pd  0.8058  0.1942  0.5701
Pd  0.8058  0.1942  0.9299

# Sr3SbPd8

Crystalline Sr3SbPd8 at its relaxed geometry (PBE, Alexandria via LeMat-Bulk).

Output
**Final energy**: -57.08 eV per formula unit
**E_form (uncorrected)**: -531 meV per atom
**Fermi-level density of states**: 0.5926 states/eV per atom

a = 9.5802 Å, b = 9.5802 Å, c = 9.5802 Å
α = 34.11°, β = 34.11°, γ = 34.11°
Fractional coordinates of all 12 atoms:
Sr  0.0000  0.0000  0.0000
Sr  0.1305  0.1305  0.1305
Sr  0.5183  0.5183  0.5183
Sb  0.6516  0.6516  0.6516
Pd  0.0669  0.0669  0.5683
Pd  0.0669  0.5683  0.0669
Pd  0.0704  0.5657  0.5657
Pd  0.3158  0.3158  0.3158
Pd  0.5657  0.0704  0.5657
Pd  0.5657  0.5657  0.0704
Pd  0.5683  0.0669  0.0669
Pd  0.8172  0.8172  0.8172

# Sr2SbPd2

Crystalline Sr2SbPd2 at its relaxed geometry (PBE, Alexandria via LeMat-Bulk).

Output
**Final energy**: -21.40 eV per formula unit
**E_form (uncorrected)**: -705 meV per atom
**Fermi-level density of states**: 0.6037 states/eV per atom
**Polymorph energy (0 for the lowest one)**: 98 meV per atom

a = 7.5113 Å, b = 7.5113 Å, c = 4.5668 Å
α = 90.00°, β = 90.00°, γ = 90.00°
Fractional coordinates of all 10 atoms:
Sr  0.1775  0.3225  0.0000
Sr  0.3225  0.8225  0.0000
Sr  0.6775  0.1775  0.0000
Sr  0.8225  0.6775  0.0000
Sb  0.0000  0.0000  0.5000
Sb  0.5000  0.5000  0.5000
Pd  0.1317  0.6317  0.5000
Pd  0.3683  0.1317  0.5000
Pd  0.6317  0.8683  0.5000
Pd  0.8683  0.3683  0.5000

# Sr3SbPd3

Crystalline Sr3SbPd3 at its relaxed geometry (PBE, Alexandria via LeMat-Bulk).

Output
**Final energy**: -29.74 eV per formula unit
**E_form (uncorrected)**: -714 meV per atom
**Fermi-level density of states**: 0.6642 states/eV per atom

a = 6.0273 Å, b = 6.0273 Å, c = 14.8409 Å
α = 90.00°, β = 90.00°, γ = 136.05°
Fractional coordinates of all 14 atoms:
Sr  0.0074  0.9926  0.7500
Sr  0.2890  0.7110  0.6029
Sr  0.2890  0.7110  0.8971
Sr  0.7110  0.2890  0.1029
Sr  0.7110  0.2890  0.3971
Sr  0.9926  0.0074  0.2500
Sb  0.0000  0.0000  0.0000
Sb  0.0000  0.0000  0.5000
Pd  0.2907  0.7093  0.2500
Pd  0.4230  0.5770  0.0912
Pd  0.4230  0.5770  0.4088
Pd  0.5770  0.4230  0.5912
Pd  0.5770  0.4230  0.9088
Pd  0.7093  0.2907  0.7500

# SrSb2Pd4

Crystalline SrSb2Pd4 at its relaxed geometry (PBE, Alexandria via LeMat-Bulk).

Output
**Final energy**: -34.89 eV per formula unit
**E_form (uncorrected)**: -599 meV per atom
**Fermi-level density of states**: 0.4651 states/eV per atom
**Polymorph energy (0 for the lowest one)**: 39 meV per atom

a = 18.2727 Å, b = 4.6032 Å, c = 7.1785 Å
α = 90.00°, β = 90.00°, γ = 90.00°
Fractional coordinates of all 28 atoms:
Sr  0.1411  0.2500  0.0085
Sr  0.3589  0.7500  0.5085
Sr  0.6411  0.2500  0.4915
Sr  0.8589  0.7500  0.9915
Sb  0.0365  0.7500  0.7389
Sb  0.2077  0.2500  0.4563
Sb  0.2923  0.7500  0.9563
Sb  0.4635  0.2500  0.2389
Sb  0.5365  0.7500  0.7611
Sb  0.7077  0.2500  0.0437
Sb  0.7923  0.7500  0.5437
Sb  0.9635  0.2500  0.2611
Pd  0.0170  0.7500  0.1161
Pd  0.0648  0.2500  0.5332
Pd  0.1841  0.7500  0.6690
Pd  0.2182  0.7500  0.2685
Pd  0.2818  0.2500  0.7685
Pd  0.3159  0.2500  0.1690
Pd  0.4352  0.7500  0.0332
Pd  0.4830  0.2500  0.6161
Pd  0.5170  0.7500  0.3839
Pd  0.5648  0.2500  0.9668
Pd  0.6841  0.7500  0.8310
Pd  0.7182  0.7500  0.2315
Pd  0.7818  0.2500  0.7315
Pd  0.8159  0.2500  0.3310
Pd  0.9352  0.7500  0.4668
Pd  0.9830  0.2500  0.8839

# SrSb3Pd

Crystalline SrSb3Pd at its relaxed geometry (PBE, Alexandria via LeMat-Bulk).

Output
**Final energy**: -13.59 eV per formula unit
**E_form (uncorrected)**: 1131 meV per atom
**Fermi-level density of states**: 1.1817 states/eV per atom
**Polymorph energy (0 for the lowest one)**: 1680 meV per atom

a = 5.9360 Å, b = 5.9360 Å, c = 5.9360 Å
α = 90.00°, β = 90.00°, γ = 90.00°
Fractional coordinates of all 5 atoms:
Sr  0.0000  0.0000  0.0000
Sb  0.0000  0.0000  0.5000
Sb  0.0000  0.5000  0.0000
Sb  0.5000  0.0000  0.0000
Pd  0.5000  0.5000  0.5000

# Sr3Sb2Pd7

Crystalline Sr3Sb2Pd7 at its relaxed geometry (PBE, Alexandria via LeMat-Bulk).

Output
**Final energy**: -57.44 eV per formula unit
**E_form (uncorrected)**: -650 meV per atom
**Fermi-level density of states**: 0.3351 states/eV per atom

a = 5.1743 Å, b = 4.5137 Å, c = 11.9900 Å
α = 90.00°, β = 96.24°, γ = 90.00°
Fractional coordinates of all 12 atoms:
Sr  0.0000  0.0000  0.0000
Sr  0.2206  0.0000  0.3652
Sr  0.7794  0.0000  0.6348
Sb  0.2668  0.5000  0.7720
Sb  0.7332  0.5000  0.2280
Pd  0.2095  0.5000  0.1822
Pd  0.2639  0.5000  0.5525
Pd  0.4660  0.0000  0.8567
Pd  0.5000  0.5000  0.0000
Pd  0.5340  0.0000  0.1433
Pd  0.7361  0.5000  0.4475
Pd  0.7905  0.5000  0.8178

# Sr3Sb2Pd2

Crystalline Sr3Sb2Pd2 at its relaxed geometry (PBE, Alexandria via LeMat-Bulk).

Output
**Final energy**: -30.10 eV per formula unit
**E_form (uncorrected)**: -918 meV per atom
**Fermi-level density of states**: 0.1845 states/eV per atom

a = 6.0669 Å, b = 8.9653 Å, c = 14.3128 Å
α = 90.00°, β = 90.00°, γ = 90.00°
Fractional coordinates of all 28 atoms:
Sr  0.1454  0.1071  0.0986
Sr  0.1454  0.1071  0.4014
Sr  0.1454  0.3929  0.5986
Sr  0.1454  0.3929  0.9014
Sr  0.3501  0.7452  0.2500
Sr  0.3501  0.7548  0.7500
Sr  0.6499  0.2452  0.2500
Sr  0.6499  0.2548  0.7500
Sr  0.8546  0.6071  0.0986
Sr  0.8546  0.6071  0.4014
Sr  0.8546  0.8929  0.5986
Sr  0.8546  0.8929  0.9014
Sb  0.1567  0.1016  0.7500
Sb  0.1567  0.3984  0.2500
Sb  0.3331  0.7500  0.0000
Sb  0.3331  0.7500  0.5000
Sb  0.6669  0.2500  0.0000
Sb  0.6669  0.2500  0.5000
Sb  0.8433  0.6016  0.7500
Sb  0.8433  0.8984  0.2500
Pd  0.3877  0.0391  0.5888
Pd  0.3877  0.0391  0.9112
Pd  0.3877  0.4609  0.0888
Pd  0.3877  0.4609  0.4112
Pd  0.6123  0.5391  0.5888
Pd  0.6123  0.5391  0.9112
Pd  0.6123  0.9609  0.0888
Pd  0.6123  0.9609  0.4112

# Sr2Sb2Pd5

Crystalline Sr2Sb2Pd5 at its relaxed geometry (PBE, Alexandria via LeMat-Bulk).

Output
**Final energy**: -43.38 eV per formula unit
**E_form (uncorrected)**: -645 meV per atom
**Fermi-level density of states**: 0.3775 states/eV per atom

a = 4.8585 Å, b = 4.8585 Å, c = 8.6143 Å
α = 90.00°, β = 90.00°, γ = 90.00°
Fractional coordinates of all 9 atoms:
Sr  0.0000  0.0000  0.0000
Sr  0.0000  0.0000  0.5000
Sb  0.5000  0.5000  0.1764
Sb  0.5000  0.5000  0.8236
Pd  0.0000  0.5000  0.2864
Pd  0.0000  0.5000  0.7136
Pd  0.5000  0.0000  0.2864
Pd  0.5000  0.0000  0.7136
Pd  0.5000  0.5000  0.5000

# Sr2SbPd2

Crystalline Sr2SbPd2 at its relaxed geometry (PBE, Alexandria via LeMat-Bulk).

Output
**Final energy**: -20.94 eV per formula unit
**E_form (uncorrected)**: -614 meV per atom
**Fermi-level density of states**: 0.5498 states/eV per atom
**Polymorph energy (0 for the lowest one)**: 189 meV per atom

a = 5.8063 Å, b = 5.8063 Å, c = 5.8063 Å
α = 118.06°, β = 118.06°, γ = 93.39°
Fractional coordinates of all 5 atoms:
Sr  0.2500  0.7500  0.5000
Sr  0.7500  0.2500  0.5000
Sb  0.0000  0.0000  0.0000
Pd  0.3360  0.3360  0.0000
Pd  0.6640  0.6640  0.0000

# SrSb2Pd4

Crystalline SrSb2Pd4 at its relaxed geometry (PBE, Alexandria via LeMat-Bulk).

Output
**Final energy**: -35.17 eV per formula unit
**E_form (uncorrected)**: -638 meV per atom
**Fermi-level density of states**: 0.4648 states/eV per atom
**Polymorph energy (0 for the lowest one)**: 0 meV per atom

a = 8.2826 Å, b = 8.2826 Å, c = 4.2011 Å
α = 90.00°, β = 90.00°, γ = 90.00°
Fractional coordinates of all 14 atoms:
Sr  0.0000  0.0000  0.0000
Sr  0.5000  0.5000  0.5000
Sb  0.2209  0.2209  0.5000
Sb  0.2791  0.7209  0.0000
Sb  0.7209  0.2791  0.0000
Sb  0.7791  0.7791  0.5000
Pd  0.0864  0.6552  0.5000
Pd  0.1552  0.4136  0.0000
Pd  0.3448  0.9136  0.5000
Pd  0.4136  0.1552  0.0000
Pd  0.5864  0.8448  0.0000
Pd  0.6552  0.0864  0.5000
Pd  0.8448  0.5864  0.0000
Pd  0.9136  0.3448  0.5000

# SrSb12Pd4

Crystalline SrSb12Pd4 at its relaxed geometry (PBE, Alexandria via LeMat-Bulk).

Output
**Final energy**: -77.60 eV per formula unit
**E_form (uncorrected)**: -334 meV per atom
**Fermi-level density of states**: 0.5345 states/eV per atom

a = 8.3505 Å, b = 8.3505 Å, c = 8.3505 Å
α = 109.47°, β = 109.47°, γ = 109.47°
Fractional coordinates of all 17 atoms:
Sr  0.0000  0.0000  0.0000
Sb  0.1561  0.3444  0.5004
Sb  0.1561  0.6556  0.8117
Sb  0.1883  0.8439  0.3444
Sb  0.3444  0.1883  0.8439
Sb  0.3444  0.5004  0.1561
Sb  0.5004  0.1561  0.3444
Sb  0.4996  0.8439  0.6556
Sb  0.6556  0.4996  0.8439
Sb  0.6556  0.8117  0.1561
Sb  0.8117  0.1561  0.6556
Sb  0.8439  0.3444  0.1883
Sb  0.8439  0.6556  0.4996
Pd  0.0000  0.0000  0.5000
Pd  0.0000  0.5000  0.0000
Pd  0.5000  0.0000  0.0000
Pd  0.5000  0.5000  0.5000

# Sr2SbPd2

Crystalline Sr2SbPd2 at its relaxed geometry (PBE, Alexandria via LeMat-Bulk).

Output
**Final energy**: -20.72 eV per formula unit
**E_form (uncorrected)**: -570 meV per atom
**Fermi-level density of states**: 0.4552 states/eV per atom
**Polymorph energy (0 for the lowest one)**: 233 meV per atom

a = 9.5039 Å, b = 9.5039 Å, c = 9.5039 Å
α = 156.31°, β = 156.31°, γ = 33.75°
Fractional coordinates of all 5 atoms:
Sr  0.1155  0.1155  0.0000
Sr  0.8845  0.8845  0.0000
Sb  0.5000  0.5000  0.0000
Pd  0.2500  0.7500  0.5000
Pd  0.7500  0.2500  0.5000

# SrSb6Pd12

Crystalline SrSb6Pd12 at its relaxed geometry (PBE, Alexandria via LeMat-Bulk).

Output
**Final energy**: -96.35 eV per formula unit
**E_form (uncorrected)**: -401 meV per atom
**Fermi-level density of states**: 0.4413 states/eV per atom

a = 7.5726 Å, b = 7.5726 Å, c = 7.5726 Å
α = 104.42°, β = 104.42°, γ = 104.42°
Fractional coordinates of all 19 atoms:
Sr  0.0000  0.0000  0.0000
Sb  0.2630  0.2630  0.6853
Sb  0.2630  0.6853  0.2630
Sb  0.3147  0.7370  0.7370
Sb  0.6853  0.2630  0.2630
Sb  0.7370  0.3147  0.7370
Sb  0.7370  0.7370  0.3147
Pd  0.1189  0.5000  0.8811
Pd  0.1189  0.8811  0.5000
Pd  0.1361  0.3941  0.3941
Pd  0.3941  0.1361  0.3941
Pd  0.3941  0.3942  0.1361
Pd  0.5000  0.1189  0.8811
Pd  0.5000  0.8811  0.1189
Pd  0.6059  0.6059  0.8639
Pd  0.6059  0.8639  0.6059
Pd  0.8639  0.6058  0.6059
Pd  0.8811  0.1189  0.5000
Pd  0.8811  0.5000  0.1189

# SrSb3Pd

Crystalline SrSb3Pd at its relaxed geometry (PBE, Alexandria via LeMat-Bulk).

Output
**Final energy**: -21.84 eV per formula unit
**E_form (uncorrected)**: -519 meV per atom
**Fermi-level density of states**: 0.4889 states/eV per atom
**Polymorph energy (0 for the lowest one)**: 29 meV per atom

a = 6.2629 Å, b = 6.4482 Å, c = 6.9129 Å
α = 90.04°, β = 90.23°, γ = 90.02°
Fractional coordinates of all 10 atoms:
Sr  0.0000  0.0000  0.0000
Sr  0.3152  0.5016  0.4019
Sb  0.0702  0.9540  0.4910
Sb  0.2456  0.4533  0.9104
Sb  0.4725  0.0731  0.7081
Sb  0.4800  0.0221  0.2365
Sb  0.8349  0.5175  0.1625
Sb  0.8429  0.5742  0.6932
Pd  0.5457  0.7456  0.9463
Pd  0.7696  0.2455  0.4566

# Sr2Sb4Pd5

Crystalline Sr2Sb4Pd5 at its relaxed geometry (PBE, Alexandria via LeMat-Bulk).

Output
**Final energy**: -52.88 eV per formula unit
**E_form (uncorrected)**: -642 meV per atom
**Fermi-level density of states**: 0.2970 states/eV per atom

a = 9.6845 Å, b = 8.5956 Å, c = 6.2028 Å
α = 79.97°, β = 60.93°, γ = 39.10°
Fractional coordinates of all 11 atoms:
Sr  0.1386  0.1386  0.8614
Sr  0.8614  0.8614  0.1386
Sb  0.2146  0.5329  0.4671
Sb  0.4671  0.7854  0.2146
Sb  0.5329  0.2146  0.7854
Sb  0.7854  0.4671  0.5329
Pd  0.0000  0.0000  0.5000
Pd  0.2500  0.2500  0.2500
Pd  0.5000  0.5000  0.0000
Pd  0.5000  0.5000  0.5000
Pd  0.7500  0.7500  0.7500

# Sr2Sb2Pd15

Crystalline Sr2Sb2Pd15 at its relaxed geometry (PBE, Alexandria via LeMat-Bulk).

Output
**Final energy**: -95.18 eV per formula unit
**E_form (uncorrected)**: -299 meV per atom
**Fermi-level density of states**: 1.0807 states/eV per atom

a = 7.1177 Å, b = 7.1177 Å, c = 7.1177 Å
α = 82.32°, β = 82.32°, γ = 82.32°
Fractional coordinates of all 19 atoms:
Sr  0.1475  0.1475  0.1475
Sr  0.8525  0.8525  0.8525
Sb  0.3947  0.3947  0.3947
Sb  0.6053  0.6053  0.6053
Pd  0.0000  0.5000  0.5000
Pd  0.1554  0.1554  0.6559
Pd  0.1554  0.6559  0.1554
Pd  0.1944  0.5000  0.8056
Pd  0.1944  0.8056  0.5000
Pd  0.3441  0.8446  0.8446
Pd  0.5000  0.0000  0.5000
Pd  0.5000  0.1944  0.8056
Pd  0.5000  0.5000  0.0000
Pd  0.5000  0.8056  0.1944
Pd  0.6559  0.1554  0.1554
Pd  0.8056  0.1944  0.5000
Pd  0.8056  0.5000  0.1944
Pd  0.8446  0.3441  0.8446
Pd  0.8446  0.8446  0.3441